First-principles (PBE-GGA) data for Cs3RuAu after structural relaxation, as listed in Alexandria via LeMat-Bulk.

The structure in POSCAR format:
```
Cs3RuAu
1.0
5.939 0.000 0.000
0.000 5.939 0.000
0.000 0.000 5.939
Ru Cs Au
1 3 1
Cartesian
0.000 0.000 0.000
0.000 0.000 2.970
2.970 0.000 0.000
0.000 2.970 0.000
2.970 2.970 2.970
```

Calculated values
Energy of formation from the pure elements (eV/atom): 0.6579
Offset from the most stable computed form (meV per atom): 0.0
Density of states at the Fermi level (states/eV/f.u.): 2.65
Space-group type: Pm-3m (221)
Crystal system: cubic